1.
Below is a relaxed structure of In2SbTe, with properties calculated at the PBE-GGA level.

Lattice parameters (Å, degrees): 4.3831 4.3831 6.1857 90.00 90.00 90.00
Atoms (fractional coordinates):
In 0.0000 0.0000 0.0000
In 0.5000 0.5000 0.5000
Sb 0.0000 0.0000 0.5000
Te 0.5000 0.5000 0.0000

Summary:
size of the total moment = 0.0 μB per formula unit
total DFT energy (no corrections) = -3.3425 eV/atom
E_form (uncorrected) = -0.6 eV per formula unit
ρ = 6.7 g/cm3
relative energy among the computed polymorphs = 0 meV/atom

2.
Below is a relaxed structure of EuMgGa2, with properties calculated at the PBE-GGA level.

Lattice parameters (Å, degrees): 4.7484 4.7484 4.0401 90.00 90.00 90.00
Atoms (fractional coordinates):
Eu 0.0000 0.0000 0.0000
Mg 0.5000 0.5000 0.0000
Ga 0.0000 0.5000 0.5000
Ga 0.5000 0.0000 0.5000

Summary:
size of the total moment = 7.0 μB per formula unit
total DFT energy (no corrections) = -4.7973 eV/atom
ρ = 5.8 g/cm3

3.
Below is a relaxed structure of CsRb2SnPt, with properties calculated at the PBE-GGA level.

Lattice parameters (Å, degrees): 6.6576 6.6576 5.1924 90.00 90.00 90.00
Atoms (fractional coordinates):
Cs 0.0000 0.0000 0.0000
Rb 0.0000 0.5000 0.5000
Rb 0.5000 0.0000 0.5000
Sn 0.5000 0.5000 0.0000
Pt 0.5000 0.5000 0.5000

Summary:
size of the total moment = 0.0 μB per formula unit
total DFT energy (no corrections) = -2.6867 eV/atom
ρ = 4.5 g/cm3

4.
Below is a relaxed structure of RbBa2Mg2, with properties calculated at the PBE-GGA level.

Lattice parameters (Å, degrees): 13.9292 13.9292 13.9292 161.49 161.49 26.30
Atoms (fractional coordinates):
Rb 0.0000 0.0000 0.0000
Ba 0.3604 0.3604 0.0000
Ba 0.6396 0.6396 0.0000
Mg 0.2500 0.7500 0.5000
Mg 0.7500 0.2500 0.5000

Summary:
size of the total moment = 0.0 μB per formula unit
total DFT energy (no corrections) = -1.4499 eV/atom
ρ = 2.5 g/cm3
relative energy among the computed polymorphs = 72 meV/atom

5.
Below is a relaxed structure of K2SnC, with properties calculated at the PBE-GGA level.

Lattice parameters (Å, degrees): 5.4822 5.4822 5.4822 60.00 60.00 60.00
Atoms (fractional coordinates):
K 0.2500 0.2500 0.2500
K 0.7500 0.7500 0.7500
Sn 0.0000 0.0000 0.0000
C 0.5000 0.5000 0.5000

Summary:
size of the total moment = 0.0 μB per formula unit
total DFT energy (no corrections) = -2.3930 eV/atom
ρ = 3.0 g/cm3
relative energy among the computed polymorphs = 719 meV/atom

6.
Below is a relaxed structure of Ac12Co5P, with properties calculated at the PBE-GGA level.

Lattice parameters (Å, degrees): 7.3864 7.3864 13.7736 95.19 95.19 119.97
Atoms (fractional coordinates):
Ac 0.0421 0.3716 0.1122
Ac 0.1147 0.1147 0.3810
Ac 0.1939 0.5397 0.6189
Ac 0.2988 0.2988 0.8866
Ac 0.3716 0.0421 0.1122
Ac 0.4603 0.8061 0.3811
Ac 0.5397 0.1939 0.6189
Ac 0.6284 0.9579 0.8878
Ac 0.7012 0.7012 0.1134
Ac 0.8061 0.4603 0.3811
Ac 0.8853 0.8853 0.6190
Ac 0.9579 0.6284 0.8878
Co 0.0000 0.0000 0.0000
Co 0.1668 0.8332 0.5000
Co 0.3333 0.6667 0.0000
Co 0.6667 0.3333 0.0000
Co 0.8332 0.1668 0.5000
P 0.5000 0.5000 0.5000

Summary:
size of the total moment = 0.0 μB per formula unit
total DFT energy (no corrections) = -5.1747 eV/atom
ρ = 7.9 g/cm3

7.
Below is a relaxed structure of Tl3BP, with properties calculated at the PBE-GGA level.

Lattice parameters (Å, degrees): 4.8792 4.8792 4.8792 90.00 90.00 90.00
Atoms (fractional coordinates):
Tl 0.0000 0.0000 0.5000
Tl 0.0000 0.5000 0.0000
Tl 0.5000 0.0000 0.0000
B 0.0000 0.0000 0.0000
P 0.5000 0.5000 0.5000

Summary:
size of the total moment = 0.0 μB per formula unit
total DFT energy (no corrections) = -3.0530 eV/atom
ρ = 9.4 g/cm3
relative energy among the computed polymorphs = 0 meV/atom

8.
Below is a relaxed structure of SrHg2Rh, with properties calculated at the PBE-GGA level.

Lattice parameters (Å, degrees): 10.3753 10.3753 10.3753 153.55 153.55 37.76
Atoms (fractional coordinates):
Sr 0.0000 0.0000 0.0000
Sr 0.7500 0.2500 0.5000
Hg 0.2163 0.6250 0.0913
Hg 0.3750 0.4663 0.5913
Hg 0.5337 0.1250 0.9087
Hg 0.8750 0.7837 0.4087
Rh 0.2500 0.7500 0.5000
Rh 0.5000 0.5000 0.0000

Summary:
size of the total moment = 0.0 μB per formula unit
total DFT energy (no corrections) = -2.4521 eV/atom
ρ = 8.9 g/cm3

9.
Below is a relaxed structure of SmH4, with properties calculated at the PBE-GGA level.

Lattice parameters (Å, degrees): 4.3526 4.3526 4.3526 90.00 90.00 90.00
Atoms (fractional coordinates):
Sm 0.0000 0.0000 0.0000
H 0.0000 0.0000 0.5000
H 0.0000 0.5000 0.0000
H 0.5000 0.0000 0.0000
H 0.5000 0.5000 0.5000

Summary:
size of the total moment = 1.0 μB per formula unit
total DFT energy (no corrections) = -3.3096 eV/atom
ρ = 3.1 g/cm3

10.
Below is a relaxed structure of CdIr2W, with properties calculated at the PBE-GGA level.

Lattice parameters (Å, degrees): 4.8245 4.8245 2.8468 90.00 90.00 105.10
Atoms (fractional coordinates):
Cd 0.0000 0.0000 0.0000
Ir 0.0000 0.5000 0.5000
Ir 0.5000 0.0000 0.5000
W 0.5000 0.5000 0.0000

Summary:
size of the total moment = 0.0 μB per formula unit
total DFT energy (no corrections) = -7.7481 eV/atom
ρ = 17.7 g/cm3

11.
Below is a relaxed structure of BiH2Pt, with properties calculated at the PBE-GGA level.

Lattice parameters (Å, degrees): 4.9367 4.5669 12.1625 90.00 113.91 90.00
Atoms (fractional coordinates):
Bi 0.2166 0.2474 0.2496
Bi 0.2166 0.2526 0.7496
Bi 0.7834 0.7474 0.2504
Bi 0.7834 0.7526 0.7504
H 0.0007 0.2062 0.4500
H 0.0007 0.2938 0.9500
H 0.4003 0.7066 0.9504
H 0.4003 0.7934 0.4504
H 0.5997 0.2066 0.5496
H 0.5997 0.2934 0.0496
H 0.9993 0.7062 0.0500
H 0.9993 0.7938 0.5500
Pt 0.3081 0.0003 0.5582
Pt 0.3081 0.4997 0.0582
Pt 0.6919 0.9997 0.4418
Pt 0.6919 0.5003 0.9418

Summary:
size of the total moment = 0.0 μB per formula unit
total DFT energy (no corrections) = -4.1336 eV/atom
ρ = 10.8 g/cm3
relative energy among the computed polymorphs = 0 meV/atom

12.
Below is a relaxed structure of MnInSi2Au, with properties calculated at the PBE-GGA level.

Lattice parameters (Å, degrees): 4.8033 4.8033 5.4583 90.00 90.00 90.00
Atoms (fractional coordinates):
Mn 0.0000 0.0000 0.0000
In 0.5000 0.5000 0.0000
Si 0.0000 0.5000 0.5000
Si 0.5000 0.0000 0.5000
Au 0.5000 0.5000 0.5000

Summary:
size of the total moment = 4.5 μB per formula unit
total DFT energy (no corrections) = -4.2358 eV/atom
E_form (uncorrected) = 4.9 eV per formula unit
ρ = 5.6 g/cm3

13.
Below is a relaxed structure of Cd3Au, with properties calculated at the PBE-GGA level.

Lattice parameters (Å, degrees): 5.2833 5.2833 4.4949 115.01 115.01 47.44
Atoms (fractional coordinates):
Cd 0.0000 0.0000 0.0000
Cd 0.2461 0.2461 0.7463
Cd 0.7539 0.7539 0.2537
Au 0.5000 0.5000 0.5000

Summary:
size of the total moment = 0.0 μB per formula unit
total DFT energy (no corrections) = -1.5970 eV/atom
ρ = 10.8 g/cm3

14.
Below is a relaxed structure of BaMg3Tl, with properties calculated at the PBE-GGA level.

Lattice parameters (Å, degrees): 5.5828 5.5828 5.5828 90.00 90.00 90.00
Atoms (fractional coordinates):
Ba 0.0000 0.0000 0.0000
Mg 0.0000 0.5000 0.5000
Mg 0.5000 0.0000 0.5000
Mg 0.5000 0.5000 0.0000
Tl 0.5000 0.5000 0.5000

Summary:
size of the total moment = 0.0 μB per formula unit
total DFT energy (no corrections) = -1.7079 eV/atom
ρ = 4.0 g/cm3
relative energy among the computed polymorphs = 261 meV/atom

15.
Below is a relaxed structure of Pm3Al7Ga4, with properties calculated at the PBE-GGA level.

Lattice parameters (Å, degrees): 8.4033 8.4033 10.0024 125.33 125.33 29.34
Atoms (fractional coordinates):
Pm 0.0000 0.0000 0.0000
Pm 0.3193 0.3193 0.3157
Pm 0.6807 0.6807 0.6843
Al 0.0000 0.0000 0.5000
Al 0.1504 0.1504 0.4205
Al 0.3296 0.3296 0.9731
Al 0.4930 0.4930 0.7115
Al 0.5070 0.5070 0.2885
Al 0.6704 0.6704 0.0269
Al 0.8496 0.8496 0.5795
Ga 0.1290 0.1290 0.8510
Ga 0.3362 0.3362 0.7213
Ga 0.6638 0.6638 0.2787
Ga 0.8710 0.8710 0.1490

Summary:
size of the total moment = 0.0 μB per formula unit
total DFT energy (no corrections) = -4.1964 eV/atom
ρ = 5.4 g/cm3

16.
Below is a relaxed structure of MoP, with properties calculated at the PBE-GGA level.

Lattice parameters (Å, degrees): 3.1681 3.1681 5.5839 90.00 90.00 90.00
Atoms (fractional coordinates):
Mo 0.2500 0.2500 0.1759
Mo 0.7500 0.7500 0.8241
P 0.2500 0.2500 0.6397
P 0.7500 0.7500 0.3603

Summary:
size of the total moment = 0.0 μB per formula unit
total DFT energy (no corrections) = -8.5952 eV/atom
ρ = 7.5 g/cm3

17.
Below is a relaxed structure of CrCdCoTe2, with properties calculated at the PBE-GGA level.

Lattice parameters (Å, degrees): 5.5730 5.5730 5.0764 90.00 90.00 90.00
Atoms (fractional coordinates):
Cr 0.0000 0.0000 0.0000
Cd 0.0000 0.0000 0.5000
Co 0.5000 0.5000 0.0000
Te 0.0000 0.5000 0.5000
Te 0.5000 0.0000 0.5000

Summary:
size of the total moment = 7.0 μB per formula unit
total DFT energy (no corrections) = -3.4085 eV/atom
E_form (uncorrected) = 6.9 eV per formula unit
ρ = 5.0 g/cm3

18.
Below is a relaxed structure of Pm2Tm4Mg, with properties calculated at the PBE-GGA level.

Lattice parameters (Å, degrees): 11.6585 6.3669 11.6603 74.14 31.69 74.17
Atoms (fractional coordinates):
Pm 0.2266 0.7734 0.3134
Pm 0.5634 0.9366 0.4766
Pm 0.7734 0.2266 0.6866
Pm 0.9366 0.5634 0.0234
Tm 0.0031 0.6406 0.2530
Tm 0.1468 0.9970 0.6094
Tm 0.3930 0.4478 0.4492
Tm 0.4478 0.3930 0.7099
Tm 0.5401 0.8008 0.8022
Tm 0.6406 0.0031 0.1032
Tm 0.8008 0.5401 0.8570
Tm 0.9970 0.1468 0.2469
Mg 0.0558 0.0558 0.9442
Mg 0.3058 0.3058 0.1942

Summary:
size of the total moment = 0.0 μB per formula unit
total DFT energy (no corrections) = -4.0078 eV/atom
ρ = 7.5 g/cm3
relative energy among the computed polymorphs = 0 meV/atom

19.
Below is a relaxed structure of Tm5AgSb4, with properties calculated at the PBE-GGA level.

Lattice parameters (Å, degrees): 7.4736 7.4736 7.4736 99.56 99.56 131.91
Atoms (fractional coordinates):
Tm 0.0000 0.0000 0.0000
Tm 0.1961 0.3983 0.5902
Tm 0.3983 0.8080 0.2021
Tm 0.6059 0.1961 0.7979
Tm 0.8080 0.6059 0.4098
Ag 0.5001 0.5001 0.0000
Sb 0.1027 0.7034 0.8020
Sb 0.3007 0.1027 0.3993
Sb 0.7034 0.9014 0.6007
Sb 0.9014 0.3007 0.1980

Summary:
size of the total moment = 0.0 μB per formula unit
total DFT energy (no corrections) = -4.9825 eV/atom
E_form (uncorrected) = -8.1 eV per formula unit
ρ = 8.4 g/cm3

20.
Below is a relaxed structure of AcSm2ErP4, with properties calculated at the PBE-GGA level.

Lattice parameters (Å, degrees): 7.2139 4.1664 7.2163 90.00 109.35 90.00
Atoms (fractional coordinates):
Ac 0.0000 0.0000 0.0000
Sm 0.0000 0.5000 0.5000
Sm 0.5000 0.0000 0.5000
Er 0.5000 0.5000 0.0000
P 0.2611 0.0000 0.7499
P 0.2649 0.5000 0.2590
P 0.7351 0.5000 0.7410
P 0.7389 0.0000 0.2501

Summary:
size of the total moment = 0.0 μB per formula unit
total DFT energy (no corrections) = -6.4678 eV/atom
ρ = 6.6 g/cm3

21.
Below is a relaxed structure of BeFeRu2, with properties calculated at the PBE-GGA level.

Lattice parameters (Å, degrees): 8.1449 8.1449 8.1449 18.83 18.83 18.83
Atoms (fractional coordinates):
Be 0.0000 0.0000 0.0000
Fe 0.5000 0.5000 0.5000
Ru 0.2539 0.2539 0.2539
Ru 0.7461 0.7461 0.7461

Summary:
size of the total moment = 2.4 μB per formula unit
total DFT energy (no corrections) = -7.6081 eV/atom
ρ = 9.0 g/cm3

22.
Below is a relaxed structure of Sc2SbTePt, with properties calculated at the PBE-GGA level.

Lattice parameters (Å, degrees): 5.3431 5.3431 4.9070 90.00 90.00 90.00
Atoms (fractional coordinates):
Sc 0.0000 0.5000 0.0000
Sc 0.5000 0.0000 0.0000
Sb 0.0000 0.0000 0.5000
Te 0.5000 0.5000 0.0000
Pt 0.5000 0.5000 0.5000

Summary:
size of the total moment = 0.0 μB per formula unit
total DFT energy (no corrections) = -5.2259 eV/atom
E_form (uncorrected) = -0.2 eV per formula unit
ρ = 6.3 g/cm3

23.
Below is a relaxed structure of Li12CdGa2, with properties calculated at the PBE-GGA level.

Lattice parameters (Å, degrees): 5.4667 5.4667 20.4429 90.00 90.00 119.73
Atoms (fractional coordinates):
Li 0.0098 0.5098 0.1582
Li 0.0213 0.5213 0.6079
Li 0.0522 0.9478 0.9291
Li 0.1160 0.8840 0.4829
Li 0.2500 0.2500 0.2177
Li 0.2500 0.2500 0.3436
Li 0.2500 0.2500 0.6564
Li 0.2500 0.2500 0.7823
Li 0.3840 0.6160 0.4829
Li 0.4478 0.5522 0.9291
Li 0.4787 0.9787 0.6079
Li 0.4902 0.9902 0.1582
Li 0.5098 0.0098 0.8418
Li 0.5213 0.0213 0.3921
Li 0.5522 0.4478 0.0709
Li 0.6160 0.3840 0.5171
Li 0.7500 0.7500 0.2177
Li 0.7500 0.7500 0.3436
Li 0.7500 0.7500 0.6564
Li 0.7500 0.7500 0.7823
Li 0.8840 0.1160 0.5171
Li 0.9478 0.0522 0.0709
Li 0.9787 0.4787 0.3921
Li 0.9902 0.4902 0.8418
Cd 0.2500 0.7500 0.0366
Cd 0.7500 0.2500 0.9634
Ga 0.2500 0.7500 0.2813
Ga 0.2500 0.7500 0.7267
Ga 0.7500 0.2500 0.2733
Ga 0.7500 0.2500 0.7187

Summary:
size of the total moment = 0.0 μB per formula unit
total DFT energy (no corrections) = -2.0768 eV/atom
ρ = 2.1 g/cm3

24.
Below is a relaxed structure of TcTeF3, with properties calculated at the PBE-GGA level.

Lattice parameters (Å, degrees): 4.6525 4.6525 4.6525 90.00 90.00 90.00
Atoms (fractional coordinates):
Tc 0.0000 0.0000 0.0000
Te 0.5000 0.5000 0.5000
F 0.0000 0.5000 0.5000
F 0.5000 0.0000 0.5000
F 0.5000 0.5000 0.0000

Summary:
size of the total moment = 4.6 μB per formula unit
total DFT energy (no corrections) = -4.0068 eV/atom
E_form (uncorrected) = -0.9 eV per formula unit
ρ = 4.7 g/cm3
relative energy among the computed polymorphs = 471 meV/atom

25.
Below is a relaxed structure of NbHgS2, with properties calculated at the PBE-GGA level.

Lattice parameters (Å, degrees): 7.3014 7.3014 7.3014 100.32 100.32 129.93
Atoms (fractional coordinates):
Nb 0.2500 0.7500 0.5000
Nb 0.7500 0.2500 0.5000
Hg 0.2500 0.2500 0.0000
Hg 0.7500 0.7500 0.0000
S 0.1348 0.6348 0.7697
S 0.3652 0.1348 0.5000
S 0.6348 0.8652 0.5000
S 0.8652 0.3652 0.2303

Summary:
size of the total moment = 1.0 μB per formula unit
total DFT energy (no corrections) = -5.1548 eV/atom
E_form (uncorrected) = -2.0 eV per formula unit
ρ = 4.4 g/cm3